Entry 1:
LiHo5Te8 | PBE | optimized geometry

Properties
The raw formation energy is -1303 meV per atom. The value obtained for the total magnetic moment is 0.000 μB per cell.

a b c (Å): 8.9455 8.9455 8.9455
angles (deg): 60.00 60.00 60.00
Positions (direct):
Li 0.0000 0.0000 0.0000
Ho 0.3688 0.3688 0.3688
Ho 0.3688 0.3688 0.8936
Ho 0.3688 0.8936 0.3688
Ho 0.7500 0.7500 0.7500
Ho 0.8936 0.3688 0.3688
Te 0.1287 0.1287 0.1287
Te 0.1287 0.1287 0.6140
Te 0.1287 0.6140 0.1287
Te 0.1520 0.6160 0.6160
Te 0.6140 0.1287 0.1287
Te 0.6160 0.1520 0.6160
Te 0.6160 0.6160 0.1520
Te 0.6160 0.6160 0.6160

=====

Entry 2:
CrRuPb2 | PBE | optimized geometry

Properties
The value obtained for the relative energy among the computed polymorphs is 0.839 eV/atom. The value obtained for the formation enthalpy at 0 K is 1166 meV per atom. The value obtained for the total magnetic moment is 0.491 μB per cell.

a b c (Å): 6.0752 6.0752 6.0752
angles (deg): 104.22 104.22 120.57
Positions (direct):
Cr 0.0000 0.0000 0.0000
Cr 0.7500 0.2500 0.5000
Ru 0.2500 0.7500 0.5000
Ru 0.5000 0.5000 0.0000
Pb 0.1270 0.6250 0.0020
Pb 0.3750 0.3770 0.5020
Pb 0.6230 0.1250 0.9980
Pb 0.8750 0.8730 0.4980

=====

Entry 3:
SrFe3 | PBE | optimized geometry

Properties
The value obtained for the formation enthalpy at 0 K is 862 meV per atom. The value obtained for the total magnetic moment is 7.280 μB per cell.

a b c (Å): 4.5577 4.5577 4.5577
angles (deg): 119.81 119.81 90.33
Positions (direct):
Sr 0.0000 0.0000 0.0000
Fe 0.2500 0.7500 0.5000
Fe 0.5000 0.5000 0.0000
Fe 0.7500 0.2500 0.5000